Entry 1:
A plane-wave DFT calculation with PBE was carried out for a relaxed structure of PrSn4.

a = 5.8907 Å, b = 5.8907 Å, c = 5.8907 Å
α = 90.00°, β = 90.00°, γ = 90.00°
Space group Pm-3m (No. 221)
Asymmetric unit:
Pr 0.0000 0.0000 0.0000 [1 per cell]
Sn 0.0000 0.0000 0.5000 [3 per cell]
Sn 0.5000 0.5000 0.5000 [1 per cell]

## Properties
Excess energy over the best structure of this formula in the dataset in meV per atom: 991.2
DFT formation energy in eV per atom: 0.623
Spin magnetization in μB/f.u.: 0.000

***

Entry 2:
A plane-wave DFT calculation with PBE was carried out for a relaxed structure of Pr3Sn.

a = 3.5336 Å, b = 3.6135 Å, c = 10.9248 Å
α = 90.00°, β = 90.00°, γ = 90.00°
Space group Pmm2 (No. 25)
Asymmetric unit:
Pr 0.0000 0.0000 0.0000 [1 per cell]
Pr 0.0000 0.5000 0.2990 [1 per cell]
Pr 0.5000 0.5000 0.7457 [1 per cell]
Sn 0.5000 0.0000 0.4959 [1 per cell]

## Properties
DFT formation energy in eV per atom: -0.097
Spin magnetization in μB/f.u.: 0.001

***

Entry 3:
A plane-wave DFT calculation with PBE was carried out for a relaxed structure of Pr5Sn3.

a = 8.4314 Å, b = 8.4314 Å, c = 14.4283 Å
α = 90.00°, β = 90.00°, γ = 90.00°
Space group I4/mcm (No. 140)
Asymmetric unit:
Pr 0.0000 0.0000 0.0000 [4 per cell]
Pr 0.1669 0.3331 0.1494 [16 per cell]
Sn 0.0000 0.0000 0.2500 [4 per cell]
Sn 0.1319 0.3681 0.5000 [8 per cell]

## Properties
Excess energy over the best structure of this formula in the dataset in meV per atom: 25.8
DFT formation energy in eV per atom: -0.656
Spin magnetization in μB/f.u.: 1.316

***

Entry 4:
A plane-wave DFT calculation with PBE was carried out for a relaxed structure of Pr5Sn.

a = 5.9095 Å, b = 11.2367 Å, c = 5.9985 Å
α = 90.00°, β = 90.00°, γ = 90.00°
Space group Cmmm (No. 65)
Asymmetric unit:
Pr 0.0000 0.0000 0.0000 [2 per cell]
Pr 0.0000 0.1560 0.5000 [4 per cell]
Pr 0.0000 0.3435 0.0000 [4 per cell]
Sn 0.0000 0.5000 0.5000 [2 per cell]

## Properties
Excess energy over the best structure of this formula in the dataset in meV per atom: 79.5
DFT formation energy in eV per atom: -0.180
Spin magnetization in μB/f.u.: 0.000

***

Entry 5:
A plane-wave DFT calculation with PBE was carried out for a relaxed structure of Pr3Sn.

a = 3.6963 Å, b = 11.4217 Å, c = 6.0932 Å
α = 90.00°, β = 90.00°, γ = 90.00°
Space group Imm2 (No. 44)
Asymmetric unit:
Pr 0.0000 0.0000 0.0000 [2 per cell]
Pr 0.0000 0.2281 0.6346 [4 per cell]
Sn 0.0000 0.5000 0.9564 [2 per cell]

## Properties
DFT formation energy in eV per atom: -0.362
Spin magnetization in μB/f.u.: 0.000

***

Entry 6:
A plane-wave DFT calculation with PBE was carried out for a relaxed structure of Pr13Sn2.

a = 7.6902 Å, b = 8.4115 Å, c = 8.9257 Å
α = 68.49°, β = 72.62°, γ = 83.54°
Space group P-1 (No. 2)
Asymmetric unit:
Pr 0.0000 0.0000 0.0000 [1 per cell]
Pr 0.1182 0.4745 0.7557 [2 per cell]
Pr 0.2105 0.2169 0.1669 [2 per cell]
Pr 0.2648 0.9301 0.5932 [2 per cell]
Pr 0.3237 0.6573 0.9793 [2 per cell]
Pr 0.3536 0.4164 0.3972 [2 per cell]
Pr 0.4925 0.1358 0.7937 [2 per cell]
Sn 0.0648 0.7734 0.3889 [2 per cell]

## Properties
DFT formation energy in eV per atom: -0.179
Spin magnetization in μB/f.u.: 0.000

***

Entry 7:
A plane-wave DFT calculation with PBE was carried out for a relaxed structure of Pr4Sn3.

a = 5.0584 Å, b = 5.0584 Å, c = 33.0602 Å
α = 90.00°, β = 90.00°, γ = 120.00°
Space group R-3m (No. 166, hexagonal axes)
Asymmetric unit:
Pr 0.0000 0.0000 0.1209 [6 per cell]
Pr 0.0000 0.0000 0.2987 [6 per cell]
Sn 0.0000 0.0000 0.4042 [6 per cell]
Sn 0.0000 0.0000 0.5000 [3 per cell]

## Properties
Excess energy over the best structure of this formula in the dataset in meV per atom: 199.0
DFT formation energy in eV per atom: -0.544
Spin magnetization in μB/f.u.: 0.000

***

Entry 8:
A plane-wave DFT calculation with PBE was carried out for a relaxed structure of Pr3Sn.

a = 4.9288 Å, b = 4.9288 Å, c = 10.3089 Å
α = 90.00°, β = 90.00°, γ = 90.00°
Space group I4/mmm (No. 139)
Asymmetric unit:
Pr 0.0000 0.0000 0.0000 [2 per cell]
Pr 0.0000 0.5000 0.2500 [4 per cell]
Sn 0.0000 0.0000 0.5000 [2 per cell]

## Properties
DFT formation energy in eV per atom: -0.411
Spin magnetization in μB/f.u.: 0.000